Entry 1:
Compound: Sm3Dy8Tm3
Source: Alexandria
Functional: PBE
Structure: optimized geometry

Computed properties:
Magnetization, μB per cell: 0.0
ρ, kg/m3: 8327
Fermi-level density of states, states/eV/f.u.: 21.9
Calculated total energy, eV/atom: -4.49

Cell lengths 5.615, 10.758, 14.906 Å; angles 90.00, 90.00, 90.00 degrees
Space group Immm (No. 71)
One atom of each set of equivalent atoms:
1 Sm 0.000 0.000 0.000 [2 per cell]
2 Sm 0.000 0.500 0.319 [4 per cell]
3 Dy 0.000 0.160 0.279 [8 per cell]
4 Dy 0.000 0.342 0.103 [8 per cell]
5 Tm 0.000 0.000 0.500 [2 per cell]
6 Tm 0.000 0.296 0.500 [4 per cell]

Entry 2:
Compound: Sm7Dy2Tm3
Source: Alexandria
Functional: PBE
Structure: optimized geometry

Computed properties:
Magnetization, μB per cell: 0.0
ρ, kg/m3: 7523
Fermi-level density of states, states/eV/f.u.: 18.9
Calculated total energy, eV/atom: -4.34

Cell lengths 6.222, 5.475, 12.209 Å; angles 90.00, 90.37, 90.00 degrees
Space group P2/m (No. 10)
One atom of each set of equivalent atoms:
1 Sm 0.000 0.000 0.000 [1 per cell]
2 Sm 0.088 0.500 0.171 [2 per cell]
3 Sm 0.242 0.500 0.455 [2 per cell]
4 Sm 0.442 0.000 0.182 [2 per cell]
5 Dy 0.391 0.500 0.723 [2 per cell]
6 Tm 0.062 0.000 0.656 [2 per cell]
7 Tm 0.500 0.500 0.000 [1 per cell]

Entry 3:
Compound: Sm8Dy3Tm4
Source: Alexandria
Functional: PBE
Structure: optimized geometry

Computed properties:
Magnetization, μB per cell: 0.0
ρ, kg/m3: 7902
Fermi-level density of states, states/eV/f.u.: 23.1
Calculated total energy, eV/atom: -4.27

Cell lengths 13.581, 12.113, 6.814 Å; angles 90.00, 117.48, 90.00 degrees
Space group C2/m (No. 12)
One atom of each set of equivalent atoms:
1 Sm 0.000 0.204 0.000 [4 per cell]
2 Sm 0.000 0.253 0.500 [4 per cell]
3 Sm 0.203 0.000 0.170 [4 per cell]
4 Sm 0.243 0.500 0.294 [4 per cell]
5 Dy 0.000 0.000 0.500 [2 per cell]
6 Dy 0.250 0.250 0.000 [4 per cell]
7 Tm 0.000 0.500 0.000 [2 per cell]
8 Tm 0.000 0.500 0.500 [2 per cell]
9 Tm 0.250 0.250 0.500 [4 per cell]

Entry 4:
Compound: Sm2Dy6Tm3
Source: Alexandria
Functional: PBE
Structure: optimized geometry

Computed properties:
Magnetization, μB per cell: 0.0
Relative energy among the computed polymorphs, meV per atom: 0.0
ρ, kg/m3: 8578
Fermi-level density of states, states/eV/f.u.: 14.9

Cell lengths 3.5445, 3.5445, 95.1429 Å; angles 90.00, 90.00, 120.00 degrees
Space group R-3m (No. 166, hexagonal axes)
One atom of each set of equivalent atoms:
1 Sm 0.0000 0.0000 0.0460 [6 per cell]
2 Dy 0.0000 0.0000 0.1367 [6 per cell]
3 Dy 0.0000 0.0000 0.3182 [6 per cell]
4 Dy 0.0000 0.0000 0.4102 [6 per cell]
5 Tm 0.0000 0.0000 0.2266 [6 per cell]
6 Tm 0.0000 0.0000 0.5000 [3 per cell]

Entry 5:
Compound: Sm2Dy4Tm3
Source: Alexandria
Functional: PBE
Structure: optimized geometry

Computed properties:
Magnetization, μB per cell: 0.0
ρ, kg/m3: 8552
Fermi-level density of states, states/eV/f.u.: 12.3
Calculated total energy, eV/atom: -4.49

Cell lengths 16.047, 11.577, 6.126 Å; angles 90.00, 95.90, 90.00 degrees
Space group C2/c (No. 15)
One atom of each set of equivalent atoms:
1 Sm 0.121 0.145 0.321 [8 per cell]
2 Dy 0.047 0.359 0.014 [8 per cell]
3 Dy 0.215 0.140 0.848 [8 per cell]
4 Tm 0.000 0.098 0.750 [4 per cell]
5 Tm 0.166 0.402 0.590 [8 per cell]

Entry 6:
Compound: SmDy6Tm6
Source: Alexandria
Functional: PBE
Structure: optimized geometry

Computed properties:
Magnetization, μB per cell: 3.1
ρ, kg/m3: 8318
Fermi-level density of states, states/eV/f.u.: 25.0
Calculated total energy, eV/atom: -4.28

Cell lengths 6.6073, 6.6073, 11.2909 Å; angles 90.00, 90.00, 120.00 degrees
Space group P6/mmm (No. 191)
One atom of each set of equivalent atoms:
1 Sm 0.0000 0.0000 0.0000 [1 per cell]
2 Dy 0.0000 0.0000 0.3459 [2 per cell]
3 Dy 0.3333 0.6667 0.0000 [2 per cell]
4 Dy 0.3333 0.6667 0.5000 [2 per cell]
5 Tm 0.0000 0.5000 0.2438 [6 per cell]

Entry 7:
Compound: Sm5DyTm
Source: Alexandria
Functional: PBE
Structure: optimized geometry

Computed properties:
Magnetization, μB per cell: 0.0
Relative energy among the computed polymorphs, meV per atom: 0.0
ρ, kg/m3: 7597
Fermi-level density of states, states/eV/f.u.: 12.3

Cell lengths 6.244, 6.613, 6.633 Å; angles 117.82, 96.19, 96.33 degrees
Space group P-1 (No. 2)
One atom of each set of equivalent atoms:
1 Sm 0.000 0.000 0.000 [1 per cell]
2 Sm 0.272 0.085 0.584 [2 per cell]
3 Sm 0.499 0.688 0.807 [2 per cell]
4 Dy 0.000 0.500 0.000 [1 per cell]
5 Tm 0.000 0.500 0.500 [1 per cell]

Entry 8:
Compound: Sm2Dy8Tm
Source: Alexandria
Functional: PBE
Structure: optimized geometry

Computed properties:
Magnetization, μB per cell: 0.0
Relative energy among the computed polymorphs, meV per atom: 0.0
ρ, kg/m3: 8434
Fermi-level density of states, states/eV/f.u.: 14.7

Cell lengths 18.111, 5.018, 7.947 Å; angles 90.00, 105.24, 90.00 degrees
Space group C2/m (No. 12)
One atom of each set of equivalent atoms:
1 Sm 0.227 0.000 0.137 [4 per cell]
2 Dy 0.045 0.000 0.228 [4 per cell]
3 Dy 0.090 0.500 0.953 [4 per cell]
4 Dy 0.135 0.000 0.679 [4 per cell]
5 Dy 0.181 0.500 0.409 [4 per cell]
6 Tm 0.000 0.500 0.500 [2 per cell]